1.
VASP calculation (PBE with a Hubbard U) on a relaxed ZnFeO3 crystal.

Summary:
mass density = 5.43 g/cm3
final energy = -0.3700 Ry per atom

abc: 3.727 3.727 3.727
angles: 90.00 90.00 90.00
Site moments in Bohr magnetons follow the coordinates.
Fractional coordinates of all 5 atoms:
O1 0.000 0.500 0.000  0.01
O2 0.500 0.000 0.000  0.05
O3 0.000 0.000 0.500  0.02
Fe1 0.000 0.000 0.000  3.82
Zn1 0.500 0.500 0.500  0.03

2.
VASP calculation (PBE with a Hubbard U) on a relaxed ZnFe2O5 crystal.

Summary:
mass density = 4.32 g/cm3
energy above the lowest structure with this stoichiometry = 0.042 eV/f.u.
final energy = -0.4137 Ry per atom

abc: 3.277 5.073 11.886
angles: 90.00 90.00 90.00
Site moments in Bohr magnetons follow the coordinates.
Fractional coordinates of all 16 atoms:
O1 0.500 0.863 0.810  0.16
O2 0.500 0.863 0.190  0.16
O3 0.000 0.137 0.310  0.16
O4 0.500 0.133 0.500  -0.02
O5 0.500 0.621 0.590  -0.31
O6 0.000 0.867 0.000  -0.02
O7 0.500 0.621 0.410  -0.31
O8 0.000 0.137 0.690  0.16
O9 0.000 0.379 0.090  -0.31
O10 0.000 0.379 0.910  -0.31
Fe1 0.500 0.963 0.354  4.12
Fe2 0.000 0.037 0.146  4.12
Fe3 0.000 0.037 0.854  4.12
Fe4 0.500 0.963 0.646  4.12
Zn1 0.000 0.434 0.500  0.04
Zn2 0.500 0.566 0.000  0.04

3.
VASP calculation (PBE with a Hubbard U) on a relaxed Zn3FeO3 crystal.

Summary:
mass density = 5.22 g/cm3
final energy = -0.2953 Ry per atom

abc: 5.757 5.757 5.757
angles: 90.00 90.00 90.00
Site moments in Bohr magnetons follow the coordinates.
Fractional coordinates of all 14 atoms:
Zn1 0.500 0.750 0.000  0.00
Zn2 0.750 0.000 0.500  0.00
Zn3 0.500 0.250 0.000  0.00
Zn4 0.000 0.500 0.750  0.00
Zn5 0.250 0.000 0.500  0.00
Zn6 0.000 0.500 0.250  0.00
O1 0.500 0.000 0.250  0.04
O2 0.500 0.000 0.750  0.04
O3 0.000 0.750 0.500  0.04
O4 0.750 0.500 0.000  0.04
O5 0.250 0.500 0.000  0.04
O6 0.000 0.250 0.500  0.04
Fe1 0.500 0.500 0.500  3.64
Fe2 0.000 0.000 0.000  3.64

4.
VASP calculation (PBE with a Hubbard U) on a relaxed ZnFeO3 crystal.

Summary:
mass density = 5.36 g/cm3
final energy = -0.3342 Ry per atom

abc: 3.742 3.742 3.742
angles: 90.00 90.00 90.00
Site moments in Bohr magnetons follow the coordinates.
Fractional coordinates of all 5 atoms:
O1 0.000 0.500 0.000  0.29
O2 0.000 0.000 0.500  0.20
O3 0.500 0.000 0.000  0.23
Fe1 0.500 0.500 0.500  4.13
Zn1 0.000 0.000 0.000  0.03

5.
VASP calculation (PBE with a Hubbard U) on a relaxed ZnFe3O crystal.

Summary:
mass density = 4.38 g/cm3
final energy = -0.2328 Ry per atom

abc: 4.553 4.553 4.553
angles: 90.00 90.00 90.00
Site moments in Bohr magnetons follow the coordinates.
Fractional coordinates of all 5 atoms:
Zn1 0.000 0.000 0.000  -0.07
Fe1 0.500 0.000 0.000  3.21
Fe2 0.000 0.000 0.500  3.00
Fe3 0.000 0.500 0.000  3.10
O1 0.500 0.500 0.500  -0.25

6.
VASP calculation (PBE with a Hubbard U) on a relaxed ZnFeO3 crystal.

Summary:
mass density = 4.84 g/cm3
final energy = -0.3794 Ry per atom

abc: 5.079 5.137 5.137
angles: 120.00 90.00 90.00
Site moments in Bohr magnetons follow the coordinates.
Fractional coordinates of all 10 atoms:
O1 0.250 0.306 0.039  -0.18
O2 0.750 0.733 0.039  -0.18
O3 0.250 0.961 0.267  -0.18
O4 0.750 0.961 0.694  -0.18
O5 0.750 0.306 0.267  -0.18
O6 0.250 0.733 0.694  -0.18
Zn1 0.500 0.667 0.333  -0.02
Zn2 0.000 0.667 0.333  -0.02
Fe1 0.000 0.000 0.000  2.59
Fe2 0.500 0.000 0.000  2.59

7.
VASP calculation (PBE with a Hubbard U) on a relaxed ZnFe5O6 crystal.

Summary:
mass density = 5.77 g/cm3
final energy = -0.4613 Ry per atom

abc: 5.323 5.313 5.421
angles: 60.66 81.09 71.57
Site moments in Bohr magnetons follow the coordinates.
Fractional coordinates of all 12 atoms:
Fe1 0.500 0.500 0.000  3.76
Fe2 0.000 0.666 0.668  3.78
Fe3 0.500 0.831 0.339  3.77
Fe4 0.000 0.334 0.332  3.78
Fe5 0.500 0.169 0.661  3.77
O1 0.244 0.908 0.669  0.12
O2 0.262 0.239 0.000  0.12
O3 0.756 0.423 0.669  0.12
O4 0.756 0.092 0.331  0.12
O5 0.244 0.577 0.331  0.12
O6 0.738 0.761 0.000  0.12
Zn1 0.000 0.000 0.000  0.02

8.
VASP calculation (PBE with a Hubbard U) on a relaxed ZnFeO3 crystal.

Summary:
mass density = 5.05 g/cm3
final energy = -0.4007 Ry per atom

abc: 6.597 6.597 5.206
angles: 83.23 83.23 84.43
Site moments in Bohr magnetons follow the coordinates.
Fractional coordinates of all 20 atoms:
Fe1 0.732 0.268 0.250  4.11
Fe2 0.268 0.732 0.750  4.11
Fe3 0.086 0.914 0.250  2.60
Fe4 0.914 0.086 0.750  2.60
O1 0.464 0.269 0.153  -0.06
O2 0.536 0.731 0.847  -0.06
O3 0.731 0.536 0.347  -0.06
O4 0.663 0.129 0.605  -0.14
O5 0.871 0.337 0.895  -0.14
O6 0.269 0.464 0.653  -0.06
O7 0.183 0.022 0.889  -0.14
O8 0.337 0.871 0.395  -0.14
O9 0.129 0.663 0.105  -0.14
O10 0.022 0.183 0.389  -0.14
O11 0.978 0.817 0.611  -0.14
O12 0.817 0.978 0.111  -0.14
Zn1 0.593 0.786 0.189  -0.01
Zn2 0.786 0.593 0.689  -0.01
Zn3 0.214 0.407 0.311  -0.01
Zn4 0.407 0.214 0.811  -0.01

Question: What is the final energy in the second record?
Answer: -0.4137 Ry per atom

Question: Number 3 is which compound?
Answer: Zn3FeO3

Question: Look up the mass density of the first one.
Answer: 5.43 g/cm3

Question: The lowest mass density belongs to which entry?
Answer: ZnFe2O5